Record 1
Crystalline ZnGeN2 at its relaxed geometry, computed with PBE.

Lattice parameters (Å, degrees): 5.5299 5.5536 6.4535 90.00 90.00 91.27
Last column: nearest neighbours and their distance in Å.
Fractional coordinates of all 16 atoms:
Zn 0.4059 0.6760 0.8674  4 N 2.01-2.11
Zn 0.0941 0.3240 0.3674  4 N 2.01-2.11
Zn 0.5941 0.3240 0.1326  4 N 2.01-2.11
Zn 0.9059 0.6760 0.6326  4 N 2.01-2.11
Ge 0.4156 0.8325 0.3627  4 N 1.87-1.92
Ge 0.0844 0.1675 0.8627  4 N 1.87-1.92
Ge 0.5844 0.1675 0.6373  4 N 1.87-1.92
Ge 0.9156 0.8325 0.1373  4 N 1.87-1.92
N 0.0764 0.8219 0.8782  2 Ge 1.90-1.92, 2 Zn 2.01
N 0.4236 0.1781 0.3782  2 Ge 1.90-1.92, 2 Zn 2.01
N 0.9236 0.1781 0.1218  2 Ge 1.90-1.92, 2 Zn 2.01
N 0.5764 0.8219 0.6218  2 Ge 1.90-1.92, 2 Zn 2.01
N 0.1011 0.7026 0.3528  2 Ge 1.87-1.88
N 0.3989 0.2974 0.8528  2 Ge 1.87-1.88
N 0.8989 0.2974 0.6472  2 Ge 1.87-1.88
N 0.6011 0.7026 0.1472  2 Ge 1.87-1.88

ΔE_f (raw) in kJ/mol of formula units: -49
Density of states at the Fermi level in states/eV/cell: 0.00
Space group: P2_1/c
Final energy in eV per cell: -92.2

---

Record 2
Crystalline Ca4Pa3CdP8 at its relaxed geometry, computed with PBE.

Lattice parameters (Å, degrees): 8.1089 8.1213 8.1099 119.95 120.00 90.00
Last column: nearest neighbours and their distance in Å.
Fractional coordinates of all 16 atoms:
Ca 0.5000 0.0000 0.0000  6 P 2.89
Ca 0.5000 0.0000 0.5000  6 P 2.94-2.98
Ca 0.0000 0.0000 0.0000  6 P 2.95-2.98
Ca 0.0000 0.0000 0.5000  6 P 2.94-2.98
Pa 0.5000 0.5000 0.0000  6 P 2.76-2.80
Pa 0.5000 0.5000 0.5000  6 P 2.76-2.80
Pa 0.0000 0.5000 0.5000  6 P 2.76-2.80
Cd 0.0000 0.5000 0.0000  6 P 2.86
P 0.2487 0.7297 0.9809  2 Pa 2.76, 1 Cd 2.86, 3 Ca 2.89-2.98
P 0.2488 0.7298 0.4976  2 Pa 2.76, 1 Cd 2.86, 3 Ca 2.89-2.98
P 0.2564 0.2692 0.5128  3 Pa 2.80, 3 Ca 2.94-2.95
P 0.7323 0.7297 0.9809  2 Pa 2.76, 1 Cd 2.86, 3 Ca 2.89-2.98
P 0.2677 0.2703 0.0191  2 Pa 2.76, 1 Cd 2.86, 3 Ca 2.89-2.98
P 0.7436 0.7308 0.4872  3 Pa 2.80, 3 Ca 2.94-2.95
P 0.7512 0.2702 0.5024  2 Pa 2.76, 1 Cd 2.86, 3 Ca 2.89-2.98
P 0.7513 0.2703 0.0191  2 Pa 2.76, 1 Cd 2.86, 3 Ca 2.89-2.98

DFT formation energy in eV/atom: -1.07
Density of states at the Fermi level in states/eV/cell: 7.42
Space group: R-3m
Final energy in eV per cell: -97.8

---

Record 3
Crystalline TlTcPS2 at its relaxed geometry, computed with PBE.

Lattice parameters (Å, degrees): 4.8055 4.8055 4.6151 90.00 90.00 90.00
Last column: nearest neighbours and their distance in Å.
Fractional coordinates of all 5 atoms:
S 0.0000 0.5000 0.0000  2 Tc 2.40
S 0.5000 0.0000 0.0000  2 Tc 2.40
P 0.0000 0.0000 0.5000  2 Tc 2.31
Tl 0.5000 0.5000 0.5000  8 S 3.33, 4 P 3.40
Tc 0.0000 0.0000 0.0000  2 P 2.31, 4 S 2.40

ΔE_f (raw) in kJ/mol of formula units: 80
Density of states at the Fermi level in states/eV/cell: 4.54
Space group: P4/mmm
Final energy in eV per cell: -25.6
Offset from the most stable computed form in meV per atom: 0

---

Record 4
Crystalline Pa2BeCdO8 at its relaxed geometry, computed with PBE.

Lattice parameters (Å, degrees): 4.8401 4.8401 6.9493 90.00 90.00 120.00
Last column: nearest neighbours and their distance in Å.
Fractional coordinates of all 12 atoms:
Pa 0.6667 0.3333 0.1623  1 O 1.93
Pa 0.3333 0.6667 0.8377  1 O 1.93
Be 0.0000 0.0000 0.0000  6 O 1.77
Cd 0.0000 0.0000 0.5000  12 O 2.76-2.82
O 0.8338 0.6676 0.8433  1 Be 1.77
O 0.3324 0.1662 0.8433  1 Be 1.77
O 0.8338 0.1662 0.8433  1 Be 1.77
O 0.1662 0.3324 0.1567  1 Be 1.77
O 0.6676 0.8338 0.1567  1 Be 1.77
O 0.1662 0.8338 0.1567  1 Be 1.77
O 0.6667 0.3333 0.4406  1 Pa 1.93
O 0.3333 0.6667 0.5594  1 Pa 1.93

ΔE_f (raw) in kJ/mol of formula units: -2529
Density of states at the Fermi level in states/eV/cell: 3.32
Space group: P-3m1
Final energy in eV per cell: -89.5

---

Record 5
Crystalline Ce3RhPb at its relaxed geometry, computed with PBE.

Lattice parameters (Å, degrees): 4.7701 6.7463 8.7122 111.53 90.00 90.00
Last column: nearest neighbours and their distance in Å.
Fractional coordinates of all 10 atoms:
Ce 0.7500 0.5987 0.4249  2 Rh 2.99, 2 Ce 3.23, 1 Pb 3.33
Ce 0.2500 0.4013 0.5751  2 Rh 2.99, 2 Ce 3.23, 1 Pb 3.33
Ce 0.7500 0.2830 0.9042  1 Rh 2.64
Ce 0.2500 0.0052 0.7537  1 Rh 2.69
Ce 0.2500 0.7170 0.0958  1 Rh 2.64
Ce 0.7500 0.9948 0.2463  1 Rh 2.69
Rh 0.2500 0.8646 0.4219  2 Ce 2.64-2.69
Rh 0.7500 0.1354 0.5781  2 Ce 2.64-2.69
Pb 0.2500 0.2729 0.1672  10 Ce 3.26-3.57
Pb 0.7500 0.7271 0.8328  10 Ce 3.26-3.57

DFT formation energy in eV/atom: -0.44
Density of states at the Fermi level in states/eV/cell: 27.23
Space group: P2_1/m
Final energy in eV per cell: -62.1
Offset from the most stable computed form in meV per atom: 0

---

Record 6
Crystalline CsHg2TeRh at its relaxed geometry, computed with PBE.

Lattice parameters (Å, degrees): 5.4416 5.4416 5.3238 90.00 90.00 90.00
Last column: nearest neighbours and their distance in Å.
Fractional coordinates of all 5 atoms:
Cs 0.5000 0.5000 0.5000  8 Hg 3.81, 4 Te 3.85
Te 0.0000 0.0000 0.5000  2 Rh 2.66
Rh 0.0000 0.0000 0.0000  2 Te 2.66, 4 Hg 2.72
Hg 0.0000 0.5000 0.0000  2 Rh 2.72
Hg 0.5000 0.0000 0.0000  2 Rh 2.72

ΔE_f (raw) in kJ/mol of formula units: -140
Density of states at the Fermi level in states/eV/cell: 4.42
Space group: P4/mmm
Final energy in eV per cell: -13.4